! PBE NaCu2Br4, relaxed; values from VASP
! **Total magnetization**: 0.8 μB per formula unit
! **Total DFT energy (no corrections)**: -20.66 eV/cell
! **Raw formation energy**: -637 meV/atom
! **Space-group type**: P-42m (111)
&SYSTEM
  ibrav = 0, nat = 7, ntyp = 3
/
ATOMIC_SPECIES
Na 22.99 Na.upf
Cu 63.55 Cu.upf
Br 79.90 Br.upf
ATOMIC_POSITIONS crystal
Na 0.000 0.000 0.000
Cu 0.000 0.500 0.500
Cu 0.500 0.000 0.500
Br 0.261 0.261 0.289
Br 0.261 0.739 0.711
Br 0.739 0.261 0.711
Br 0.739 0.739 0.289
CELL_PARAMETERS angstrom
5.569 0.000 0.000
0.000 5.569 0.000
0.000 0.000 6.853

! PBE GaHgC2, relaxed; values from VASP
! **Relative energy among the computed polymorphs**: 0.00 eV per formula unit
! **Total magnetization**: 0.0 μB per formula unit
! **Total DFT energy (no corrections)**: -30.61 eV/cell
! **ΔE_f**: 1.6181 eV per atom
! **Space-group type**: I-42d (122)
&SYSTEM
  ibrav = 0, nat = 8, ntyp = 3
/
ATOMIC_SPECIES
Ga 69.72 Ga.upf
Hg 200.59 Hg.upf
C 12.01 C.upf
ATOMIC_POSITIONS crystal
Ga 0.000 0.000 0.000
Ga 0.750 0.250 0.500
Hg 0.250 0.750 0.500
Hg 0.500 0.500 0.000
C 0.082 0.625 0.957
C 0.375 0.332 0.457
C 0.668 0.125 0.043
C 0.875 0.918 0.543
CELL_PARAMETERS angstrom
-2.492 2.492 4.847
2.492 -2.492 4.847
2.492 2.492 -4.847

! PBE NdMg4Si2, relaxed; values from VASP
! **Total magnetization**: 0.0 μB per formula unit
! **Total DFT energy (no corrections)**: -47.88 eV/cell
! **Raw formation energy**: -279 meV/atom
! **Space-group type**: P4_2/mnm (136)
&SYSTEM
  ibrav = 0, nat = 14, ntyp = 3
/
ATOMIC_SPECIES
Nd 144.24 Nd.upf
Mg 24.30 Mg.upf
Si 28.09 Si.upf
ATOMIC_POSITIONS crystal
Nd 0.000 0.000 0.000
Nd 0.500 0.500 0.500
Mg 0.093 0.339 0.500
Mg 0.161 0.593 0.000
Mg 0.339 0.093 0.500
Mg 0.407 0.839 0.000
Mg 0.593 0.161 0.000
Mg 0.661 0.907 0.500
Mg 0.839 0.407 0.000
Mg 0.907 0.661 0.500
Si 0.201 0.799 0.500
Si 0.299 0.299 0.000
Si 0.701 0.701 0.000
Si 0.799 0.201 0.500
CELL_PARAMETERS angstrom
8.406 0.000 0.000
0.000 8.406 0.000
0.000 0.000 4.245

! PBE NbTlSe2Br, relaxed; values from VASP
! **Relative energy among the computed polymorphs**: 0.00 eV per formula unit
! **Total magnetization**: 0.6 μB per formula unit
! **Total DFT energy (no corrections)**: -23.57 eV/cell
! **Raw formation energy**: -499 meV/atom
! **Space-group type**: P4/mmm (123)
&SYSTEM
  ibrav = 0, nat = 5, ntyp = 4
/
ATOMIC_SPECIES
Nb 92.91 Nb.upf
Tl 204.38 Tl.upf
Se 78.96 Se.upf
Br 79.90 Br.upf
ATOMIC_POSITIONS crystal
Nb 0.000 0.000 0.000
Tl 0.500 0.500 0.500
Se 0.000 0.500 0.000
Se 0.500 0.000 0.000
Br 0.000 0.000 0.500
CELL_PARAMETERS angstrom
5.085 0.000 0.000
0.000 5.085 0.000
0.000 0.000 5.433

! PBE LiCdCl2, relaxed; values from VASP
! **Relative energy among the computed polymorphs**: 0.12 eV per formula unit
! **Total magnetization**: 0.0 μB per formula unit
! **Total DFT energy (no corrections)**: -10.64 eV/cell
! **Raw formation energy**: -1030 meV/atom
! **Space-group type**: Cmm2 (35)
&SYSTEM
  ibrav = 0, nat = 4, ntyp = 3
/
ATOMIC_SPECIES
Li 6.94 Li.upf
Cd 112.41 Cd.upf
Cl 35.45 Cl.upf
ATOMIC_POSITIONS crystal
Li 0.000 0.000 0.000
Cd 0.500 0.500 0.530
Cl 0.000 0.000 0.321
Cl 0.500 0.500 0.924
CELL_PARAMETERS angstrom
2.451 -2.502 0.000
2.451 2.502 0.000
0.000 0.000 7.624

! PBE CrCl5, relaxed; values from VASP
! **Relative energy among the computed polymorphs**: 4.39 eV per formula unit
! **Total magnetization**: 3.9 μB per formula unit
! **Total DFT energy (no corrections)**: -17.74 eV/cell
! **Raw formation energy**: 185 meV/atom
! **Space-group type**: P6/mmm (191)
&SYSTEM
  ibrav = 0, nat = 6, ntyp = 2
/
ATOMIC_SPECIES
Cr 52.00 Cr.upf
Cl 35.45 Cl.upf
ATOMIC_POSITIONS crystal
Cr 0.000 0.000 0.000
Cl 0.000 0.500 0.500
Cl 0.333 0.667 0.000
Cl 0.500 0.000 0.500
Cl 0.500 0.500 0.500
Cl 0.667 0.333 0.000
CELL_PARAMETERS angstrom
5.002 0.000 0.000
-2.501 4.332 0.000
0.000 0.000 8.105

V, respectively: 30.36 15.05 21.43 28.09 23.38 29.27 Å³ per atom.